1.
Material: AlTl2Rh
Method: DFT, SCAN
State: single point on PBEsol structure

POSCAR file:
```
AlTl2Rh
1.0
-2.144 2.144 4.153
2.144 -2.144 4.153
2.144 2.144 -4.153
Al Tl Rh
1 2 1
Cartesian
0.000 0.000 0.000
2.144 0.000 2.076
0.000 2.144 2.076
0.000 0.000 4.153
```

Properties
Symmetry: I4/mmm, No. 139
E_form, eV per atom: 0.28
Theoretical density, g/cm³: 11.72

2.
Material: AlTlRh2
Method: DFT, SCAN
State: single point on PBEsol structure

POSCAR file:
```
AlTlRh2
1.0
2.983 0.000 0.000
0.000 2.983 0.000
0.000 0.000 6.832
Al Tl Rh
1 1 2
Cartesian
0.000 0.000 0.000
0.000 0.000 3.416
1.492 1.492 1.464
1.492 1.492 5.368
```

Properties
Symmetry: P4/mmm, No. 123
E_form, eV per atom: -0.56
Theoretical density, g/cm³: 11.94

E_form of number 1 (AlTl2Rh)? 0.28 eV per atom